Here is an optimized crystal structure of NaPr2Te3 from Alexandria. Energies are from GGA-PBE.

Cell: 4.0788 5.4144 17.7540 Å, 90.00 90.00 90.00°
Last column: nearest neighbours and their distance in Å.
Space group Immm (No. 71)
Unique sites:
Na: 0.0000 0.0000 0.0000 (multiplicity 2)  2 Te 2.71
Pr: 0.0000 0.0000 0.3549 (multiplicity 4)  7 Te 3.20-3.43
Te: 0.0000 0.0000 0.1748 (multiplicity 4)  1 Na 3.10, 5 Pr 3.20-3.43
Te: 0.0000 0.5000 0.0000 (multiplicity 2)  2 Na 2.71

## Properties
- Energy above the lowest structure with this stoichiometry: 0.1960 eV per atom
- Uncorrected formation energy: -1172 meV/atom

---

Here is an optimized crystal structure of Li2MgVCl from Alexandria. Energies are from GGA-PBE.

Cell: 5.4312 5.4312 4.4971 Å, 90.00 90.00 90.00°
Last column: nearest neighbours and their distance in Å.
Space group P4/mmm (No. 123)
Unique sites:
Li: 0.0000 0.5000 0.0000 (multiplicity 2)  2 V 2.72
Mg: 0.0000 0.0000 0.5000 (multiplicity 1)  8 Li 3.53, 4 Cl 3.84
V: 0.5000 0.5000 0.0000 (multiplicity 1)  2 Cl 2.25
Cl: 0.5000 0.5000 0.5000 (multiplicity 1)  2 V 2.25

## Properties
- Uncorrected formation energy: 315 meV/atom

---

Here is an optimized crystal structure of Pm4Y3Au4 from Alexandria. Energies are from GGA-PBE.

Cell: 3.8254 9.2398 17.3578 Å, 90.00 90.00 90.00°
Last column: nearest neighbours and their distance in Å.
Space group Immm (No. 71)
Unique sites:
Pm: 0.0000 0.1857 0.1617 (multiplicity 8)  4 Au 3.06-3.21
Y: 0.0000 0.0000 0.3987 (multiplicity 4)  6 Au 3.09
Y: 0.0000 0.5000 0.5000 (multiplicity 2)  4 Au 3.51, 8 Pm 3.81, 2 Y 3.83
Au: 0.0000 0.3184 0.0000 (multiplicity 4)  2 Pm 3.06, 4 Y 3.09, 1 Au 3.36
Au: 0.0000 0.5000 0.2411 (multiplicity 4)  6 Pm 3.07-3.21, 2 Y 3.09

---

Here is an optimized crystal structure of Dy4InSnO from Alexandria. Energies are from GGA-PBE.

Cell: 6.4908 16.8038 6.4798 Å, 90.00 90.00 90.00°
Last column: nearest neighbours and their distance in Å.
Space group Cmcm (No. 63)
Unique sites:
Dy: 0.0000 0.0711 0.2500 (multiplicity 4)  3 In 3.10-3.32, 2 Sn 3.31, 1 O 3.33
Dy: 0.0000 0.4178 0.2500 (multiplicity 4)  1 O 2.50
Dy: 0.2500 0.2500 0.0000 (multiplicity 8)  2 O 2.32
In: 0.0000 0.1131 0.7500 (multiplicity 4)  9 Dy 3.10-3.32
Sn: 0.0000 0.3900 0.7500 (multiplicity 4)  9 Dy 3.23-3.31
O: 0.0000 0.2691 0.2500 (multiplicity 4)  5 Dy 2.32-2.50

## Properties
- Uncorrected formation energy: -1205 meV/atom

---

Here is an optimized crystal structure of CoPH3 from Alexandria. Energies are from GGA-PBE.

Cell: 3.2824 3.2824 3.2824 Å, 90.00 90.00 90.00°
Last column: nearest neighbours and their distance in Å.
Space group Pm-3m (No. 221)
Unique sites:
Co: 0.0000 0.0000 0.0000 (multiplicity 1)  6 H 1.64
P: 0.5000 0.5000 0.5000 (multiplicity 1)  12 H 2.32
H: 0.0000 0.0000 0.5000 (multiplicity 3)  2 Co 1.64

---

Here is an optimized crystal structure of Li2CdSiF8 from Alexandria. Energies are from GGA-PBE.

Cell: 6.7643 6.4107 6.5683 Å, 90.00 94.85 90.00°
Last column: nearest neighbours and their distance in Å.
Space group C2/m (No. 12)
Unique sites:
Li: 0.0319 0.0000 0.2348 (multiplicity 4)  5 F 1.98-2.07
Cd: 0.0000 0.5000 0.0000 (multiplicity 2)  6 F 2.12-2.38
Si: 0.0000 0.5000 0.5000 (multiplicity 2)  6 F 1.69-1.74
F: 0.0006 0.3100 0.3110 (multiplicity 8)  1 Si 1.74
F: 0.1855 0.0000 0.9919 (multiplicity 4)  2 Li 1.98-2.00, 1 Cd 2.12
F: 0.2498 0.0000 0.4763 (multiplicity 4)  1 Si 1.69

## Properties
- Uncorrected formation energy: -2834 meV/atom

---

Here is an optimized crystal structure of Sr4AlAu3 from Alexandria. Energies are from GGA-PBE.

Cell: 4.4550 4.6550 11.9168 Å, 90.00 90.00 90.00°
Last column: nearest neighbours and their distance in Å.
Space group Pmm2 (No. 25)
Unique sites:
Sr: 0.0000 0.0000 0.0000 (multiplicity 1)  6 Au 3.30-3.39, 1 Al 3.67
Sr: 0.0000 0.5000 0.2742 (multiplicity 1)  7 Au 3.30-3.64
Sr: 0.5000 0.0000 0.4882 (multiplicity 1)  5 Au 3.26-3.40, 2 Al 3.30
Sr: 0.5000 0.5000 0.7824 (multiplicity 1)  3 Au 3.28-3.30, 4 Al 3.40
Al: 0.0000 0.0000 0.6923 (multiplicity 1)  2 Au 2.69
Au: 0.0000 0.5000 0.5800 (multiplicity 1)  2 Al 2.69
Au: 0.5000 0.0000 0.2142 (multiplicity 1)  2 Au 2.97, 5 Sr 3.26-3.30
Au: 0.5000 0.5000 0.0594 (multiplicity 1)  2 Au 2.97, 5 Sr 3.30

---

Here is an optimized crystal structure of Rh from Alexandria. Energies are from GGA-PBE.

Cell: 2.6901 2.6901 14.1281 Å, 90.00 90.00 120.00°
Last column: nearest neighbours and their distance in Å.
Space group R-3m (No. 166, hexagonal axes)
Unique sites:
Rh: 0.0000 0.0000 0.0880 (multiplicity 6)  10 Rh 2.49-2.71

## Properties
- Energy above the lowest structure with this stoichiometry: 0.1770 eV per atom

---

Here is an optimized crystal structure of Mn2VBiSb from Alexandria. Energies are from GGA-PBE.

Cell: 4.6398 4.6398 5.7818 Å, 90.00 90.00 90.00°
Last column: nearest neighbours and their distance in Å.
Space group P4/mmm (No. 123)
Unique sites:
Mn: 0.0000 0.5000 0.0000 (multiplicity 2)  2 Sb 2.32
V: 0.0000 0.0000 0.5000 (multiplicity 1)  4 Bi 3.28
Bi: 0.5000 0.5000 0.5000 (multiplicity 1)  2 Sb 2.89
Sb: 0.5000 0.5000 0.0000 (multiplicity 1)  4 Mn 2.32

## Properties
- Uncorrected formation energy: 1992 meV/atom

---

Here is an optimized crystal structure of LaZn2Re from Alexandria. Energies are from GGA-PBE.

Cell: 4.4504 4.4504 18.4820 Å, 90.00 90.00 90.00°
Last column: nearest neighbours and their distance in Å.
Space group I-42d (No. 122)
Unique sites:
La: 0.0000 0.0000 0.0000 (multiplicity 4)  4 Re 3.15, 4 Zn 3.16
Zn: 0.0846 0.2500 0.6250 (multiplicity 8)  2 Zn 2.35, 2 Re 2.59
Re: 0.0000 0.0000 0.5000 (multiplicity 4)  4 Zn 2.59

## Properties
- Energy above the lowest structure with this stoichiometry: 0.1836 eV per atom

---

Here is an optimized crystal structure of Y2TeCCl from Alexandria. Energies are from GGA-PBE.

Cell: 5.7064 5.7064 4.3077 Å, 90.00 90.00 90.00°
Last column: nearest neighbours and their distance in Å.
Space group P4/mmm (No. 123)
Unique sites:
Y: 0.0000 0.5000 0.0000 (multiplicity 2)  2 Te 2.85
Te: 0.0000 0.0000 0.0000 (multiplicity 1)  2 C 2.15
C: 0.0000 0.0000 0.5000 (multiplicity 1)  2 Te 2.15
Cl: 0.5000 0.5000 0.5000 (multiplicity 1)  8 Y 3.57

## Properties
- Uncorrected formation energy: 528 meV/atom

---

Here is an optimized crystal structure of MgZnTe2 from Alexandria. Energies are from GGA-PBE.

Cell: 15.5857 4.3567 7.4007 Å, 90.00 114.97 90.00°
Last column: nearest neighbours and their distance in Å.
Space group C2/m (No. 12)
Unique sites:
Mg: 0.2296 0.0000 0.2250 (multiplicity 4)  6 Te 2.87-3.21
Zn: 0.0550 0.5000 0.2550 (multiplicity 4)  4 Te 2.65-2.85
Te: 0.1301 0.5000 0.9640 (multiplicity 4)  2 Zn 2.65-2.85, 2 Mg 2.89
Te: 0.1307 0.0000 0.4760 (multiplicity 4)  2 Zn 2.68, 1 Mg 2.87

## Properties
- Uncorrected formation energy: -545 meV/atom

---

Here is an optimized crystal structure of Ba2TeRuI from Alexandria. Energies are from GGA-PBE.

Cell: 6.2255 6.2255 4.9910 Å, 90.00 90.00 90.00°
Last column: nearest neighbours and their distance in Å.
Space group P4/mmm (No. 123)
Unique sites:
Ba: 0.0000 0.5000 0.0000 (multiplicity 2)  2 Ru 3.11
Te: 0.0000 0.0000 0.5000 (multiplicity 1)  2 Ru 2.50
Ru: 0.0000 0.0000 0.0000 (multiplicity 1)  2 Te 2.50
I: 0.5000 0.5000 0.5000 (multiplicity 1)  8 Ba 3.99, 4 Te 4.40

## Properties
- Uncorrected formation energy: -765 meV/atom

---

Here is an optimized crystal structure of CaCo2Ir from Alexandria. Energies are from GGA-PBE.

Cell: 2.8747 2.8747 7.4044 Å, 90.00 90.00 90.00°
Last column: nearest neighbours and their distance in Å.
Space group P4/mmm (No. 123)
Unique sites:
Ca: 0.0000 0.0000 0.0000 (multiplicity 1)  4 Ca 2.87, 8 Co 3.00
Co: 0.5000 0.5000 0.2971 (multiplicity 2)  4 Ir 2.53
Ir: 0.0000 0.0000 0.5000 (multiplicity 1)  8 Co 2.53

---

Here is an optimized crystal structure of KTa2Br from Alexandria. Energies are from GGA-PBE.

Cell: 3.3461 3.3461 9.1780 Å, 90.00 90.00 90.00°
Last column: nearest neighbours and their distance in Å.
Space group P4mm (No. 99)
Unique sites:
K: 0.0000 0.0000 0.0000 (multiplicity 1)  4 Br 3.26, 4 K 3.35
Ta: 0.0000 0.0000 0.5004 (multiplicity 1)  4 Ta 2.75
Ta: 0.5000 0.5000 0.3474 (multiplicity 1)  4 Ta 2.75
Br: 0.5000 0.5000 0.7552 (multiplicity 1)  4 K 3.26, 4 Ta 3.33, 4 Br 3.35

## Properties
- Energy above the lowest structure with this stoichiometry: 0.1057 eV per atom
- Uncorrected formation energy: 311 meV/atom

---

Here is an optimized crystal structure of TiNi from Alexandria. Energies are from GGA-PBE.

Cell: 4.4883 4.4883 4.7919 Å, 90.00 90.00 120.00°
Last column: nearest neighbours and their distance in Å.
Space group P6mm (No. 183)
Unique sites:
Ti: 0.0000 0.0000 0.0000 (multiplicity 1)  8 Ni 2.36-2.63
Ti: 0.3333 0.6667 0.4072 (multiplicity 2)  5 Ni 2.38-2.62, 3 Ti 2.59
Ni: 0.0000 0.0000 0.4917 (multiplicity 1)  8 Ti 2.36-2.62
Ni: 0.3333 0.6667 0.9114 (multiplicity 2)  5 Ti 2.38-2.63, 3 Ni 2.59

---

Here is an optimized crystal structure of CaPaN2 from Alexandria. Energies are from GGA-PBE.

Cell: 3.5438 3.5438 17.8580 Å, 90.00 90.00 120.00°
Last column: nearest neighbours and their distance in Å.
Space group R3m (No. 160, hexagonal axes)
Unique sites:
Ca: 0.0000 0.0000 0.0000 (multiplicity 3)  6 N 2.59-2.83
Pa: 0.0000 0.0000 0.8230 (multiplicity 3)  6 N 2.37-2.38
N: 0.0000 0.0000 0.2239 (multiplicity 3)  3 Pa 2.38
N: 0.0000 0.0000 0.4222 (multiplicity 3)  3 Pa 2.37, 3 Ca 2.59

## Properties
- Uncorrected formation energy: -1272 meV/atom

---

Here is an optimized crystal structure of NaAl3B from Alexandria. Energies are from GGA-PBE.

Cell: 4.3920 4.3920 4.3920 Å, 90.00 90.00 90.00°
Last column: nearest neighbours and their distance in Å.
Space group Pm-3m (No. 221)
Unique sites:
Na: 0.0000 0.0000 0.0000 (multiplicity 1)  12 Al 3.11
Al: 0.0000 0.5000 0.5000 (multiplicity 3)  2 B 2.20
B: 0.5000 0.5000 0.5000 (multiplicity 1)  6 Al 2.20

## Properties
- Energy above the lowest structure with this stoichiometry: 0.0000 eV per atom

---

Here is an optimized crystal structure of NbReOsW from Alexandria. Energies are from GGA-PBE.

Cell: 6.3350 6.3350 6.3350 Å, 90.00 90.00 90.00°
Last column: nearest neighbours and their distance in Å.
Space group F-43m (No. 216)
Unique sites:
Nb: 0.0000 0.0000 0.0000 (multiplicity 4)  4 Re 2.74, 4 Os 2.74
Re: 0.2500 0.2500 0.2500 (multiplicity 4)  4 W 2.74, 4 Nb 2.74
Os: 0.2500 0.2500 0.7500 (multiplicity 4)  4 Nb 2.74, 4 W 2.74
W: 0.0000 0.0000 0.5000 (multiplicity 4)  4 Os 2.74, 4 Re 2.74

---

Here is an optimized crystal structure of BaAc3Hg6 from Alexandria. Energies are from GGA-PBE.

Cell: 10.0186 5.6062 12.2131 Å, 90.00 107.25 90.00°
Last column: nearest neighbours and their distance in Å.
Space group P2_1/m (No. 11)
Unique sites:
Ba: 0.0613 0.2500 0.3924 (multiplicity 2)  8 Hg 3.37-3.77
Ac: 0.2180 0.2500 0.0129 (multiplicity 2)  7 Hg 3.31-3.64
Ac: 0.3572 0.7500 0.8030 (multiplicity 2)  8 Hg 3.31-3.54
Ac: 0.4886 0.2500 0.6215 (multiplicity 2)  7 Hg 3.25-3.63
Hg: 0.0644 0.7500 0.8959 (multiplicity 2)  4 Ac 3.31-3.45, 1 Ba 3.37, 3 Hg 3.47-3.48
Hg: 0.1462 0.7500 0.1926 (multiplicity 2)  8 Hg 3.47-3.79, 4 Ac 3.69-3.77
Hg: 0.1744 0.2500 0.7115 (multiplicity 2)  4 Ac 3.35-3.63, 3 Ba 3.64-3.72, 1 Hg 3.73
Hg: 0.2675 0.7500 0.5171 (multiplicity 2)  4 Ac 3.34-3.57, 2 Ba 3.55
Hg: 0.3471 0.2500 0.2994 (multiplicity 2)  4 Ac 3.25-3.54, 1 Ba 3.38, 2 Hg 3.47
Hg: 0.4598 0.7500 0.0868 (multiplicity 2)  6 Ac 3.31-3.64

---

Here is an optimized crystal structure of SrMgNiH6 from Alexandria. Energies are from GGA-PBE.

Cell: 4.6741 4.6741 4.8259 Å, 90.00 90.00 120.00°
Last column: nearest neighbours and their distance in Å.
Space group P312 (No. 149)
Unique sites:
Sr: 0.0000 0.0000 0.0000 (multiplicity 1)  12 H 2.65-2.67
Mg: 0.3333 0.6667 0.5000 (multiplicity 1)  6 H 1.91
Ni: 0.6667 0.3333 0.5000 (multiplicity 1)  6 H 1.65
H: 0.5198 0.0431 0.7386 (multiplicity 6)  1 Ni 1.65

---

Here is an optimized crystal structure of Na3ScTl from Alexandria. Energies are from GGA-PBE.

Cell: 5.7113 5.7113 5.7113 Å, 90.00 90.00 90.00°
Last column: nearest neighbours and their distance in Å.
Space group Pm-3m (No. 221)
Unique sites:
Na: 0.0000 0.0000 0.5000 (multiplicity 3)  2 Tl 2.86
Sc: 0.5000 0.5000 0.5000 (multiplicity 1)  12 Na 4.04
Tl: 0.0000 0.0000 0.0000 (multiplicity 1)  6 Na 2.86

## Properties
- Energy above the lowest structure with this stoichiometry: 0.0000 eV per atom

---

Here is an optimized crystal structure of PrZn4Os from Alexandria. Energies are from GGA-PBE.

Cell: 7.3688 7.3688 7.3688 Å, 90.00 90.00 90.00°
Last column: nearest neighbours and their distance in Å.
Space group F-43m (No. 216)
Unique sites:
Pr: 0.0000 0.0000 0.0000 (multiplicity 4)  12 Zn 3.06, 4 Os 3.19
Zn: 0.1231 0.1231 0.3769 (multiplicity 16)  6 Zn 2.56-2.65
Os: 0.2500 0.2500 0.7500 (multiplicity 4)  12 Zn 3.05, 4 Pr 3.19

---

Here is an optimized crystal structure of Mg3Pt5 from Alexandria. Energies are from GGA-PBE.

Cell: 5.4222 7.2801 7.2947 Å, 84.10 70.43 70.49°
Last column: nearest neighbours and their distance in Å.
Space group P-1 (No. 2)
Unique sites:
Mg: 0.0244 0.1715 0.0722 (multiplicity 2)  9 Pt 2.71-2.88, 3 Mg 2.93-3.03
Mg: 0.2497 0.9643 0.5360 (multiplicity 2)  8 Pt 2.75-2.83, 4 Mg 2.80-2.99
Mg: 0.4738 0.4286 0.3291 (multiplicity 2)  9 Pt 2.71-2.87, 3 Mg 2.93-3.03
Pt: 0.0177 0.6722 0.5869 (multiplicity 2)  6 Mg 2.73-2.86, 6 Pt 2.81-3.01
Pt: 0.2473 0.2908 0.7035 (multiplicity 2)  5 Mg 2.74-2.87, 7 Pt 2.81-2.88
Pt: 0.2502 0.4582 0.0417 (multiplicity 2)  4 Mg 2.71-2.81, 8 Pt 2.83-2.87
Pt: 0.2512 0.7970 0.2103 (multiplicity 2)  5 Mg 2.73-2.88, 7 Pt 2.81-2.87
Pt: 0.4801 0.9144 0.8287 (multiplicity 2)  6 Mg 2.72-2.87, 6 Pt 2.81-3.01

---

Here is an optimized crystal structure of KLaZn2 from Alexandria. Energies are from GGA-PBE.

Cell: 5.1924 5.1924 7.3358 Å, 90.00 90.00 90.00°
Last column: nearest neighbours and their distance in Å.
Space group I-4m2 (No. 119)
Unique sites:
K: 0.0000 0.0000 0.0000 (multiplicity 2)  4 La 3.18, 4 Zn 3.18
La: 0.0000 0.5000 0.2500 (multiplicity 2)  4 K 3.18, 4 Zn 3.18
Zn: 0.0000 0.0000 0.5000 (multiplicity 2)  4 La 3.18, 4 Zn 3.18
Zn: 0.0000 0.5000 0.7500 (multiplicity 2)  4 K 3.18, 4 Zn 3.18

## Properties
- Energy above the lowest structure with this stoichiometry: 0.2214 eV per atom

---

In order of appearance, E = -54.672 -14.815 -114.696 -154.170 -19.835 -118.298 -25.259 -43.047 -25.500 -73.389 -24.501 -45.334 -21.640 -23.763 -25.233 -41.633 -99.712 -17.146 -186.386 -40.915 -31.292 -9.759 -86.360 -80.007 -15.677 eV per cell.
In order of appearance, calculated volume = 392 133 614 707 35 284 247 89 124 366 140 456 193 61 103 84 194 85 254 655 91 186 400 256 198 Å³/cell.